1.
Entry from Alexandria via LeMat-Bulk: crystalline K2YPt at its relaxed geometry (PBE).

The structure belongs to space group P4mm (No. 99); the cell edges are 3.762, 3.762 and 11.003 Å and the angles 90.00°, 90.00° and 90.00°. Symmetry generates all atoms from K at (0.000, 0.000, 0.000), K at (0.500, 0.500, 0.369), Y at (0.500, 0.500, 0.693) and Pt at (0.000, 0.000, 0.595).

The calculation puts the density of states at the Fermi level at 4.75 states/eV/f.u. The formation energy is -0.29 eV per atom.

2.
Entry from Alexandria via LeMat-Bulk: crystalline KYPt2 at its relaxed geometry (PBE).

The structure belongs to space group Amm2 (No. 38); the cell edges are 4.448, 3.864 and 12.230 Å and the angles 90.00°, 90.00° and 90.00°. Symmetry generates all atoms from K at (0.000, 0.000, 0.000), Y at (0.500, 0.000, 0.273), Pt at (0.000, 0.000, 0.735) and Pt at (0.500, 0.000, 0.605).

The calculation puts the density of states at the Fermi level at 1.84 states/eV/f.u. The formation energy is -0.47 eV per atom.

3.
Entry from Alexandria via LeMat-Bulk: crystalline K2YPt at its relaxed geometry (PBE).

The structure belongs to space group Cmmm (No. 65); the cell edges are 5.822, 11.600 and 3.856 Å and the angles 90.00°, 90.00° and 90.00°. Symmetry generates all atoms from K at (0.250, 0.250, 0.000), Y at (0.000, 0.000, 0.500) and Pt at (0.000, 0.500, 0.500).

The calculation puts the density of states at the Fermi level at 2.91 states/eV/f.u. The formation energy is 0.36 eV per atom.

4.
Entry from Alexandria via LeMat-Bulk: crystalline KYPt2 at its relaxed geometry (PBE).

The structure belongs to space group Cmmm (No. 65); the cell edges are 6.450, 7.424 and 3.689 Å and the angles 90.00°, 90.00° and 90.00°. Symmetry generates all atoms from K at (0.000, 0.000, 0.000), Y at (0.000, 0.500, 0.000) and Pt at (0.250, 0.250, 0.500).

The calculation puts the density of states at the Fermi level at 1.12 states/eV/f.u. The formation energy is -0.37 eV per atom.

Table of total moment (μB/cell), in record order: 0.0 0.0 0.0 0.0
Table of uncorrected energy (eV per cell), in record order: -15.87 -43.05 -26.50 -42.25